VASP calculation (PBE) on a geometry-optimized Ac8Ni2N structure.

Cell: 19.849 3.970 9.538 Å, 90.00 93.88 90.00°
Space group C2/m (No. 12)
Symmetry-distinct sites (fractional):
Ac 0.018 0.000 0.188 x4
Ac 0.099 0.500 0.548 x4
Ac 0.139 0.500 0.964 x4
Ac 0.223 0.000 0.321 x4
Ni 0.167 0.000 0.737 x4
N 0.000 0.500 0.000 x2

Formation energy (no corrections) = -0.260 eV/atom
N(E_F) = 25.32 states/eV/cell

=====

VASP calculation (PBE) on a geometry-optimized Li4CdPd structure.

Cell: 7.141 7.141 7.141 Å, 90.00 90.00 90.00°
Space group F-43m (No. 216)
Symmetry-distinct sites (fractional):
Li 0.124 0.124 0.376 x16
Cd 0.000 0.000 0.000 x4
Pd 0.250 0.250 0.750 x4

ΔH_f (0 K) = -0.16 eV/atom
Offset from the most stable computed form = 136 meV/atom
N(E_F) = 6.37 states/eV/cell

=====

VASP calculation (PBE) on a geometry-optimized Ag2TePbSe structure.

Cell: 7.558 4.462 8.417 Å, 90.00 107.42 90.00°
Space group P2_1/m (No. 11)
Symmetry-distinct sites (fractional):
Ag 0.008 0.250 0.377 x2
Ag 0.020 0.250 0.883 x2
Te 0.272 0.750 0.947 x2
Pb 0.402 0.250 0.252 x2
Se 0.246 0.750 0.440 x2

Formation energy (no corrections) = -0.194 eV/atom
N(E_F) = 0.58 states/eV/cell

=====

> Which formula does entry 2 have?

Li4CdPd

=====

> What is the N(E_F) in the third record?

0.58 states/eV/cell

=====

Repeat the third record exactly.
VASP calculation (PBE) on a geometry-optimized Ag2TePbSe structure.

Cell: 7.558 4.462 8.417 Å, 90.00 107.42 90.00°
Space group P2_1/m (No. 11)
Symmetry-distinct sites (fractional):
Ag 0.008 0.250 0.377 x2
Ag 0.020 0.250 0.883 x2
Te 0.272 0.750 0.947 x2
Pb 0.402 0.250 0.252 x2
Se 0.246 0.750 0.440 x2

Formation energy (no corrections) = -0.194 eV/atom
N(E_F) = 0.58 states/eV/cell